An optimized crystal structure of Ta2WO8. Source: Alexandria, functional PBE+U.

Computed properties:
ΔE to the lowest computed polymorph: 98 meV/atom
Symmetry: C2/m
Volume: 14.28 A^3/atom
Calculated total energy: -8.850 eV per atom

a b c (Å): 5.508 5.550 5.550
angles (deg): 68.24 86.47 86.47
Sites, in units of the cell vectors:
Ta (0.308, 0.628, 0.628)
Ta (0.692, 0.372, 0.372)
W (0.000, 0.000, 0.000)
O (0.171, 0.878, 0.320)
O (0.171, 0.320, 0.878)
O (0.829, 0.122, 0.680)
O (0.357, 0.396, 0.396)
O (0.829, 0.680, 0.122)
O (0.248, 0.838, 0.838)
O (0.752, 0.162, 0.162)
O (0.643, 0.604, 0.604)